# 1
Density functional theory data (PBE) for a geometry-optimized Sr2Zn4Cu structure.

SG ... I4/mmm
DFT total energy ... -1.840 eV per atom

```
Sr2Zn4Cu
1.0
-2.416 -0.730 -4.006
2.568 -3.889 -0.840
-5.336 -6.763 1.652
Sr Zn Cu
2 4 1
Direct
0.650 0.650 0.699 Sr
0.350 0.350 0.301 Sr
0.853 0.853 0.294 Zn
0.147 0.147 0.706 Zn
0.000 0.500 0.000 Zn
0.500 0.000 0.000 Zn
0.000 0.000 0.000 Cu
```

# 2
Density functional theory data (PBE) for a geometry-optimized Dy4Cd structure.

SG ... C2/c
DFT total energy ... -3.833 eV per atom

```
Dy4Cd
1.0
6.784 0.678 0.000
2.808 5.352 0.000
3.392 0.339 8.802
Dy Cd
8 2
Direct
0.024 0.763 0.422 Dy
0.554 0.737 0.422 Dy
0.235 0.129 0.167 Dy
0.765 0.871 0.833 Dy
0.446 0.263 0.578 Dy
0.598 0.371 0.167 Dy
0.976 0.237 0.578 Dy
0.402 0.629 0.833 Dy
0.059 0.250 0.882 Cd
0.941 0.750 0.118 Cd
```

Number 1: E_form -0.0466 eV per atom. Number 2: E_form 0.0318 eV per atom.